No. 1
A plane-wave DFT calculation with PBE was carried out for a geometry-optimized Hg2Pt2Pb structure.

The space group is I4/mmm (No. 139) and the conventional cell measures 4.0525, 4.0525 and 13.6188 Å, with angles of 90.00, 90.00 and 90.00 degrees. Symmetry generates all atoms from Hg at (0.0000, 0.0000, 0.1090), Pt at (0.0000, 0.5000, 0.2500) and Pb at (0.0000, 0.0000, 0.5000).

For the calculated total energy, the calculation gives -3.126 eV per atom. Its energy relative to the elements is 3.5 kcal/mol of atoms.

***

No. 2
A plane-wave DFT calculation with PBE was carried out for a geometry-optimized Pr2NdAs3Rh4 structure.

The space group is P-4m2 (No. 115) and the conventional cell measures 4.1952, 4.1952 and 11.5051 Å, with angles of 90.00, 90.00 and 90.00 degrees. Symmetry generates all atoms from Pr at (0.0000, 0.5000, 0.2214), Nd at (0.0000, 0.0000, 0.5000), As at (0.0000, 0.5000, 0.8743), As at (0.5000, 0.5000, 0.5000), Rh at (0.0000, 0.0000, 0.0000), Rh at (0.0000, 0.5000, 0.6631) and Rh at (0.5000, 0.5000, 0.0000).

For the calculated total energy, the calculation gives -6.678 eV per atom. Its energy relative to the elements is -21.0 kcal/mol of atoms.

***

No. 3
A plane-wave DFT calculation with PBE was carried out for a geometry-optimized Li2ScCl structure.

The space group is Fm-3m (No. 225) and the conventional cell measures 7.1672, 7.1672 and 7.1672 Å, with angles of 90.00, 90.00 and 90.00 degrees. Symmetry generates all atoms from Li at (0.2500, 0.2500, 0.2500), Sc at (0.0000, 0.0000, 0.0000) and Cl at (0.0000, 0.0000, 0.5000).

For the uncorrected formation energy, the calculation gives 0.135 eV per atom. For the calculated total energy, the calculation gives -2.867 eV per atom.